Computed, not measured: crystalline RbAlIBr2 at its relaxed geometry at the PBE level of DFT.

Cell and atoms, written as POSCAR:
```
RbAlIBr2
1.0
6.140 0.000 0.000
0.000 6.140 0.000
0.000 0.000 11.396
Rb Al I Br
1 1 1 2
direct
0.000 0.000 0.000
0.000 0.000 0.500
0.500 0.500 0.500
0.000 0.500 0.000
0.500 0.000 0.000
```

## Properties
polymorph energy (0 for the lowest one)	1016	meV per atom
uncorrected formation energy	-0.011	eV/atom